Entry from Alexandria via LeMat-Bulk: crystalline Ba3Mo5N12 at its relaxed geometry (GGA-PBE).

Cell lengths 11.673, 11.673, 11.673 Å; angles 109.47, 109.47, 109.47 degrees
Positions (direct):
Ba 0.750 0.375 0.125
Ba 0.875 0.750 0.125
Ba 0.375 0.750 0.625
Ba 0.250 0.125 0.375
Ba 0.875 0.125 0.250
Ba 0.375 0.625 0.250
Ba 0.625 0.375 0.750
Ba 0.125 0.875 0.750
Ba 0.750 0.875 0.625
Ba 0.625 0.250 0.375
Ba 0.125 0.250 0.875
Ba 0.250 0.625 0.875
Mo 0.125 0.375 0.250
Mo 0.000 0.500 0.000
Mo 0.000 0.000 0.000
Mo 0.375 0.250 0.125
Mo 0.500 0.000 0.500
Mo 0.500 0.500 0.000
Mo 0.125 0.750 0.375
Mo 0.750 0.125 0.875
Mo 0.750 0.625 0.375
Mo 0.375 0.125 0.750
Mo 0.625 0.875 0.250
Mo 0.500 0.500 0.500
Mo 0.500 0.000 0.000
Mo 0.000 0.000 0.500
Mo 0.250 0.375 0.625
Mo 0.250 0.875 0.125
Mo 0.000 0.500 0.500
Mo 0.875 0.250 0.625
Mo 0.625 0.750 0.875
Mo 0.875 0.625 0.750
N 0.679 0.103 0.994
N 0.316 0.494 0.391
N 0.006 0.397 0.321
N 0.494 0.179 0.103
N 0.576 0.679 0.684
N 0.006 0.609 0.184
N 0.316 0.821 0.424
N 0.109 0.924 0.103
N 0.609 0.006 0.684
N 0.679 0.576 0.184
N 0.821 0.506 0.397
N 0.816 0.891 0.994
N 0.103 0.679 0.494
N 0.397 0.391 0.076
N 0.076 0.891 0.397
N 0.424 0.103 0.609
N 0.076 0.184 0.179
N 0.506 0.684 0.109
N 0.816 0.924 0.321
N 0.103 0.424 0.109
N 0.397 0.006 0.821
N 0.609 0.603 0.424
N 0.891 0.816 0.494
N 0.821 0.316 0.924
N 0.391 0.397 0.576
N 0.109 0.184 0.506
N 0.179 0.684 0.076
N 0.184 0.076 0.679
N 0.603 0.994 0.179
N 0.897 0.576 0.891
N 0.494 0.316 0.891
N 0.576 0.897 0.391
N 0.924 0.816 0.821
N 0.924 0.109 0.603
N 0.897 0.321 0.506
N 0.184 0.109 0.006
N 0.603 0.609 0.924
N 0.391 0.994 0.316
N 0.321 0.424 0.816
N 0.179 0.494 0.603
N 0.891 0.076 0.897
N 0.684 0.179 0.576
N 0.506 0.821 0.897
N 0.994 0.391 0.816
N 0.424 0.321 0.316
N 0.994 0.603 0.679
N 0.684 0.506 0.609
N 0.321 0.897 0.006

Theoretical density in g cm⁻³: 5.75
N(E_F) in states/eV per cell: 8.619
E_form (uncorrected) in meV per atom: -369

Entry from Alexandria via LeMat-Bulk: crystalline CeGdCuNi at its relaxed geometry (GGA-PBE).

Cell lengths 4.903, 4.903, 4.903 Å; angles 60.00, 60.00, 60.00 degrees
Last column: magnetic moment on the atom in μB.
Positions (direct):
Ni 0.250 0.250 0.250  -0.02
Gd 0.000 0.000 0.000  7.03
Cu 0.750 0.750 0.750  0.01
Ce 0.500 0.500 0.500  0.39

Theoretical density in g cm⁻³: 8.36
N(E_F) in states/eV per cell: 6.696
Formation enthalpy at 0 K in meV per atom: -189.1

Entry from Alexandria via LeMat-Bulk: crystalline LaY2Hg3 at its relaxed geometry (GGA-PBE).

Cell lengths 3.765, 3.765, 11.507 Å; angles 90.00, 90.00, 90.00 degrees
Last column: magnetic moment on the atom in μB.
Positions (direct):
La 0.500 0.500 0.500  0.20
Y 0.500 0.500 0.839  0.05
Y 0.500 0.500 0.161  0.05
Hg 0.000 0.000 0.000  0.00
Hg 0.000 0.000 0.685  0.01
Hg 0.000 0.000 0.315  0.01

Theoretical density in g cm⁻³: 9.35
N(E_F) in states/eV per cell: 5.873
Formation enthalpy at 0 K in meV per atom: -502.9

Entry from Alexandria via LeMat-Bulk: crystalline YSi5 at its relaxed geometry (GGA-PBE).

Cell lengths 8.741, 8.741, 3.691 Å; angles 90.00, 90.00, 157.08 degrees
Positions (direct):
Y 0.900 0.100 0.500
Si 0.042 0.958 0.000
Si 0.648 0.352 0.000
Si 0.313 0.687 0.000
Si 0.540 0.460 0.500
Si 0.224 0.776 0.500

Theoretical density in g cm⁻³: 3.47
N(E_F) in states/eV per cell: 1.939
E_form (uncorrected) in meV per atom: 58
Relative energy among the computed polymorphs in meV/atom: 94

Entry from Alexandria via LeMat-Bulk: crystalline LuBe2Ni at its relaxed geometry (GGA-PBE).

Cell lengths 3.736, 3.736, 5.106 Å; angles 68.54, 68.54, 60.00 degrees
Positions (direct):
Ni 0.500 0.500 0.500
Lu 0.000 0.000 0.000
Be 0.806 0.806 0.582
Be 0.194 0.194 0.418

Theoretical density in g cm⁻³: 7.47
N(E_F) in states/eV per cell: 1.954
Formation enthalpy at 0 K in meV per atom: -288.1

Entry from Alexandria via LeMat-Bulk: crystalline Pr2SCl at its relaxed geometry (GGA-PBE).

Cell lengths 3.947, 3.947, 7.934 Å; angles 75.60, 75.60, 60.00 degrees
Positions (direct):
Pr 0.072 0.072 0.784
Pr 0.263 0.263 0.212
S 0.666 0.666 0.002
Cl 0.499 0.499 0.503

Theoretical density in g cm⁻³: 5.66
N(E_F) in states/eV per cell: 2.411
E_form (uncorrected) in meV per atom: -1681
Relative energy among the computed polymorphs in meV/atom: 31

Entry from Alexandria via LeMat-Bulk: crystalline Tc2OsW at its relaxed geometry (GGA-PBE).

Cell lengths 5.183, 5.183, 5.183 Å; angles 145.11, 129.58, 62.78 degrees
Positions (direct):
Os 0.250 0.750 0.500
Tc 0.982 0.982 0.000
Tc 0.518 0.518 0.000
W 0.750 0.250 0.500

Theoretical density in g cm⁻³: 15.60
N(E_F) in states/eV per cell: 3.455
Relative energy among the computed polymorphs in meV/atom: 185
Formation enthalpy at 0 K in meV per atom: 245.3

Entry from Alexandria via LeMat-Bulk: crystalline OsBr2Cl at its relaxed geometry (GGA-PBE).

Cell lengths 7.740, 7.740, 3.234 Å; angles 90.00, 90.00, 143.27 degrees
Last column: magnetic moment on the atom in μB.
Positions (direct):
Os 0.000 0.500 0.500  2.55
Br 0.000 0.000 0.000  0.01
Br 0.500 0.500 0.000  0.01
Cl 0.500 0.000 0.500  0.12

Theoretical density in g cm⁻³: 5.52
N(E_F) in states/eV per cell: 3.213
E_form (uncorrected) in meV per atom: 1151
Relative energy among the computed polymorphs in meV/atom: 1146